# LiFePO4, relaxed, DFT PBE with a Hubbard U
data_LiFePO4
_cell_length_a 5.2671
_cell_length_b 5.2671
_cell_length_c 13.2135
_cell_angle_alpha 90.00
_cell_angle_beta 90.00
_cell_angle_gamma 120.00
_symmetry_space_group_name_H-M 'P 62 2 2'
_symmetry_Int_Tables_number 180
_symmetry_space_group_name_Hall 'P 62 2 (0 0 4)'
loop_
_atom_site_label
_atom_site_type_symbol
_atom_site_fract_x
_atom_site_fract_y
_atom_site_fract_z
_atom_site_occupancy
Li1 Li 0.0000 0.0000 0.0000 1
Fe1 Fe 0.0000 0.5000 0.1667 1
P1 P 0.0000 0.5000 0.6667 1
O1 O 0.1824 0.4046 0.7322 1
# Total DFT energy (no corrections) (eV per atom): -6.77
# Energy relative to the lowest polymorph listed for this composition (eV per atom): 0.063
# DOS at the Fermi energy (states/eV per atom): 0.000
# V (Å³ per atom): 15.12